Computed, not measured: an optimized crystal structure of Sm5TmCd3 at the PBE level of DFT.

Computed properties:
Energy of formation (eV per atom): -0.18
Magnetic moment (Bohr magnetons per cell): 0.00
Electronic total energy (Ry per atom): -0.26492

```
data_Sm5TmCd3
_chemical_formula_sum 'Sm10 Tm2 Cd6'
_space_group_name_H-M_alt 'P 63/m c m'
_space_group_IT_number 193
_space_group_name_Hall '-P 6c 2'
_cell_length_a 9.3387
_cell_length_b 9.3387
_cell_length_c 6.9792
_cell_angle_alpha 90.00
_cell_angle_beta 90.00
_cell_angle_gamma 120.00
loop_
_atom_site_label
_atom_site_type_symbol
_atom_site_fract_x
_atom_site_fract_y
_atom_site_fract_z
_atom_site_occupancy
Sm1 Sm 0.0000 0.3328 0.2500 1
Sm2 Sm 0.3333 0.6667 0.0000 1
Tm1 Tm 0.0000 0.0000 0.0000 1
Cd1 Cd 0.0000 0.3304 0.7500 1
```